Material: Li2HoCl4
Method: DFT, PBE
State: optimized geometry

- Space-group type: I4/m

Cell: 6.521 6.521 6.521 Å, 104.62 104.62 119.68°
Last column: magnetic moment on the atom in μB.
Sites, in units of the cell vectors:
Cl  0.810  0.385  0.194  0.00
Cl  0.190  0.615  0.806  0.00
Cl  0.615  0.810  0.425  0.00
Cl  0.385  0.190  0.575  0.00
Li  0.750  0.250  0.500  0.00
Li  0.250  0.750  0.500  0.00
Ho  0.500  0.500  0.000  0.52


Material: CsLiTlSiBr
Method: DFT, PBE
State: optimized geometry

- Space-group type: Cm
- Polymorph energy (0 for the lowest one): 0.103 eV/atom

Cell: 4.589 4.936 15.567 Å, 90.00 101.63 90.00°
Sites, in units of the cell vectors:
Tl  0.261  0.500  0.025
Tl  0.261  0.000  0.525
Si  0.812  0.500  0.101
Si  0.812  0.000  0.601
Cs  0.459  0.500  0.761
Cs  0.459  0.000  0.261
Br  0.027  0.000  0.874
Br  0.027  0.500  0.374
Li  0.787  0.500  0.515
Li  0.787  0.000  0.015


Material: RbNbW2
Method: DFT, PBE
State: optimized geometry

- Space-group type: Fm-3m
- Polymorph energy (0 for the lowest one): 0.000 eV/atom
- ΔH_f (0 K): 2.007 eV/atom

Cell: 4.810 4.810 4.810 Å, 60.00 60.00 60.00°
Sites, in units of the cell vectors:
W  0.250  0.250  0.250
W  0.750  0.750  0.750
Nb  0.500  0.500  0.500
Rb  0.000  0.000  0.000


Material: Mg3GePt
Method: DFT, PBE
State: optimized geometry

- Space-group type: Pm-3m
- Polymorph energy (0 for the lowest one): 0.276 eV/atom
- ΔH_f (0 K): 0.176 eV/atom

Cell: 4.886 4.886 4.886 Å, 90.00 90.00 90.00°
Sites, in units of the cell vectors:
Mg  0.000  0.000  0.500
Mg  0.500  0.000  0.000
Mg  0.000  0.500  0.000
Ge  0.000  0.000  0.000
Pt  0.500  0.500  0.500


Material: Ac5SmAg6
Method: DFT, PBE
State: optimized geometry

- Space-group type: P2/m
- ΔH_f (0 K): -0.254 eV/atom

Cell: 5.570 7.780 8.826 Å, 90.00 71.38 90.00°
Sites, in units of the cell vectors:
Ac  0.666  0.000  0.668
Ac  0.000  0.500  0.000
Ac  0.332  0.500  0.335
Ac  0.334  0.000  0.332
Ac  0.668  0.500  0.665
Ag  0.161  0.757  0.679
Ag  0.839  0.243  0.321
Ag  0.839  0.757  0.321
Ag  0.500  0.765  0.000
Ag  0.500  0.235  0.000
Ag  0.161  0.243  0.679
Sm  0.000  0.000  0.000


Material: Zr3Au
Method: DFT, PBE
State: optimized geometry

- Space-group type: Pm-3n
- ΔH_f (0 K): -0.346 eV/atom

Cell: 5.528 5.528 5.528 Å, 90.00 90.00 90.00°
Sites, in units of the cell vectors:
Au  0.500  0.500  0.500
Au  0.000  0.000  0.000
Zr  0.500  0.750  0.000
Zr  0.000  0.500  0.250
Zr  0.250  0.000  0.500
Zr  0.750  0.000  0.500
Zr  0.500  0.250  0.000
Zr  0.000  0.500  0.750


no.,total moment (μB/f.u.),E (eV/atom),volume (Å³ per cell)
1,1.0,-3.967,208.3
2,0.0,-2.869,345.4
3,0.0,-7.229,78.7
4,0.0,-2.912,116.6
5,0.0,-3.784,362.5
6,0.0,-7.577,169.0